#P
An optimized crystal structure of CdCu3C. Source: the Alexandria database, functional PBE-GGA.

Results
For the calculated density, the calculation gives 4.81 g cm⁻³. The magnetic moment comes out at 1.14 μB/cell.

Cell lengths 4.774, 4.774, 4.774 Å; angles 90.00, 90.00, 90.00 degrees
Last column: magnetic moment on the atom in μB.
Fractional positions:
C  0.500  0.500  0.500  0.69
Cu  0.000  0.500  0.000  -0.04
Cu  0.000  0.000  0.500  -0.02
Cu  0.500  0.000  0.000  -0.05
Cd  0.000  0.000  0.000  -0.02

---

#Q
An optimized crystal structure of CdCu3C. Source: the Alexandria database, functional PBE-GGA.

Results
For the calculated density, the calculation gives 8.28 g cm⁻³. The magnetic moment comes out at 0.00 μB/cell.

Cell lengths 3.983, 3.983, 3.983 Å; angles 90.00, 90.00, 90.00 degrees
Fractional positions:
C  0.000  0.000  0.000
Cu  0.000  0.500  0.000
Cu  0.000  0.000  0.500
Cu  0.500  0.000  0.000
Cd  0.500  0.500  0.500

---

Quick one: least stable of them? #P

---

#P
An optimized crystal structure of Cd2C2F. Source: the Alexandria database, functional PBE-GGA.

Results
For the calculated density, the calculation gives 6.38 g cm⁻³. The magnetic moment comes out at 0.00 μB/cell.

Cell lengths 2.594, 2.594, 10.514 Å; angles 82.91, 82.91, 90.00 degrees
Fractional positions:
C  0.750  0.250  0.500
C  0.250  0.750  0.500
F  0.000  0.000  0.000
Cd  0.406  0.406  0.187
Cd  0.594  0.594  0.813

---

#Q
An optimized crystal structure of Cd2C2F. Source: the Alexandria database, functional PBE-GGA.

Results
For the calculated density, the calculation gives 5.09 g cm⁻³. The magnetic moment comes out at 0.00 μB/cell.

Cell lengths 6.755, 6.755, 3.827 Å; angles 90.00, 90.00, 90.00 degrees
Fractional positions:
C  0.068  0.568  0.500
C  0.568  0.932  0.500
C  0.932  0.432  0.500
C  0.432  0.068  0.500
F  0.000  0.000  0.000
F  0.500  0.500  0.000
Cd  0.192  0.692  0.000
Cd  0.692  0.808  0.000
Cd  0.808  0.308  0.000
Cd  0.308  0.192  0.000

---

Quick one: least stable of them? #P

---

#P
An optimized crystal structure of CdCF2. Source: the Alexandria database, functional PBE-GGA.

Results
For the calculated density, the calculation gives 5.48 g cm⁻³. The magnetic moment comes out at 2.00 μB/cell.

Cell lengths 4.113, 4.113, 4.113 Å; angles 60.00, 60.00, 60.00 degrees
Last column: magnetic moment on the atom in μB.
Fractional positions:
C  0.000  0.000  0.000  0.88
F  0.250  0.250  0.250  0.11
F  0.750  0.750  0.750  0.11
Cd  0.500  0.500  0.500  0.08

---

#Q
An optimized crystal structure of CdCF2. Source: the Alexandria database, functional PBE-GGA.

Results
For the calculated density, the calculation gives 5.24 g cm⁻³. The magnetic moment comes out at 0.99 μB/cell.

Cell lengths 3.761, 3.761, 7.746 Å; angles 75.95, 75.95, 90.00 degrees
Last column: magnetic moment on the atom in μB.
Fractional positions:
C  0.500  0.500  0.000  0.21
C  0.250  0.750  0.500  0.21
F  0.603  0.125  0.250  0.03
F  0.147  0.625  0.250  0.03
F  0.375  0.397  0.750  0.03
F  0.875  0.853  0.750  0.03
Cd  0.000  0.000  0.000  0.02
Cd  0.750  0.250  0.500  0.02

---

#R
An optimized crystal structure of CdCF2. Source: the Alexandria database, functional PBE-GGA.

Results
For the calculated density, the calculation gives 4.90 g cm⁻³. The magnetic moment comes out at 0.00 μB/cell.

Cell lengths 7.447, 7.447, 7.447 Å; angles 22.94, 22.94, 22.94 degrees
Fractional positions:
C  0.000  0.000  0.000
F  0.919  0.919  0.919
F  0.081  0.081  0.081
Cd  0.500  0.500  0.500

---

Quick one: least stable of them? #P